# 1
This record from Alexandria via LeMat-Bulk describes a relaxed structure of Tc4Au3. The functional is PBE.

Results
E = -7.036 eV per atom
Energy relative to the elements = 0.29 eV per atom
Volume = 113.8 Å³ per cell
Space-group type = No. 139
Fermi-level density of states = 5.22 states/eV/f.u.

Unit cell a=10.9162 b=10.9162 c=10.9162 alpha=162.80 beta=162.80 gamma=24.42
Closest atoms and distances in Å follow each position.
Positions (direct):
Tc: 0.0766 0.0766 0.0000  4 Tc 2.59, 5 Au 2.83-2.88
Tc: 0.3688 0.3688 0.0000  4 Tc 2.59, 5 Au 2.80-2.87
Tc: 0.6312 0.6312 0.0000  4 Tc 2.59, 5 Au 2.80-2.87
Tc: 0.9234 0.9234 0.0000  4 Tc 2.59, 5 Au 2.83-2.88
Au: 0.2114 0.2114 0.0000  4 Au 2.84, 5 Tc 2.87-2.88
Au: 0.5000 0.5000 0.0000  10 Tc 2.80-2.83
Au: 0.7886 0.7886 0.0000  4 Au 2.84, 5 Tc 2.87-2.88

# 2
This record from Alexandria via LeMat-Bulk describes a relaxed structure of CsH5S2N2O6. The functional is PBE.

Results
E = -5.554 eV per atom
Volume = 862.1 Å³ per cell
Space-group type = No. 19
Fermi-level density of states = 0.00 states/eV/f.u.

Unit cell a=5.3546 b=6.3056 c=25.5322 alpha=90.00 beta=90.00 gamma=90.00
Closest atoms and distances in Å follow each position.
Positions (direct):
Cs: 0.1089 0.0270 0.3474  7 O 3.14-3.46
Cs: 0.3911 0.9730 0.8474  7 O 3.14-3.46
Cs: 0.6089 0.4730 0.6526  7 O 3.14-3.46
Cs: 0.8911 0.5270 0.1526  7 O 3.14-3.46
H: 0.0206 0.6524 0.7511  1 N 1.03
H: 0.0926 0.0523 0.5811  1 N 1.07
H: 0.1154 0.8440 0.5366  1 N 1.05
H: 0.1230 0.1006 0.5142  1 N 1.04
H: 0.2195 0.4945 0.7839  1 N 1.03
H: 0.2805 0.5055 0.2839  1 N 1.03
H: 0.3770 0.8994 0.0142  1 N 1.04
H: 0.3846 0.1560 0.0366  1 N 1.05
H: 0.4074 0.9477 0.0811  1 N 1.07
H: 0.4794 0.3476 0.2511  1 N 1.03
H: 0.5206 0.8476 0.2489  1 N 1.03
H: 0.5926 0.4477 0.4189  1 N 1.07
H: 0.6154 0.6560 0.4634  1 N 1.05
H: 0.6230 0.3994 0.4858  1 N 1.04
H: 0.7195 0.0055 0.2161  1 N 1.03
H: 0.7805 0.9945 0.7161  1 N 1.03
H: 0.8770 0.6006 0.9858  1 N 1.04
H: 0.8846 0.3440 0.9634  1 N 1.05
H: 0.9074 0.5523 0.9189  1 N 1.07
H: 0.9794 0.1524 0.7489  1 N 1.03
S: 0.1734 0.9841 0.6825  3 O 1.46-1.49
S: 0.2177 0.4993 0.4654  3 O 1.44-1.46
S: 0.2823 0.5007 0.9654  3 O 1.44-1.46
S: 0.3266 0.0159 0.1825  3 O 1.46-1.49
S: 0.6734 0.5159 0.3175  3 O 1.46-1.49
S: 0.7177 0.0007 0.5346  3 O 1.44-1.46
S: 0.7823 0.9993 0.0346  3 O 1.44-1.46
S: 0.8266 0.4841 0.8175  3 O 1.46-1.49
N: 0.0396 0.5095 0.7701  2 H 1.03
N: 0.0502 0.9984 0.5425  3 H 1.04-1.07
N: 0.4498 0.0016 0.0425  3 H 1.04-1.07
N: 0.4604 0.4905 0.2701  2 H 1.03
N: 0.5396 0.9905 0.2299  2 H 1.03
N: 0.5502 0.5016 0.4575  3 H 1.04-1.07
N: 0.9498 0.4984 0.9575  3 H 1.04-1.07
N: 0.9604 0.0095 0.7299  2 H 1.03
O: 0.0887 0.9796 0.2097  1 S 1.47
O: 0.1269 0.1480 0.6416  1 S 1.49, 1 H 1.67
O: 0.1318 0.6391 0.4244  1 S 1.44
O: 0.1347 0.7686 0.6628  1 S 1.46
O: 0.1606 0.2746 0.4580  1 S 1.46
O: 0.1844 0.5736 0.5190  1 S 1.46
O: 0.3156 0.4264 0.0190  1 S 1.46
O: 0.3394 0.7254 0.9580  1 S 1.46
O: 0.3653 0.2314 0.1628  1 S 1.46
O: 0.3682 0.3609 0.9244  1 S 1.44
O: 0.3731 0.8520 0.1416  1 S 1.49, 1 H 1.67
O: 0.4113 0.0204 0.7097  1 S 1.47
O: 0.5887 0.5204 0.7903  1 S 1.47
O: 0.6269 0.3520 0.3584  1 S 1.49, 1 H 1.67
O: 0.6318 0.8609 0.5756  1 S 1.44
O: 0.6347 0.7314 0.3372  1 S 1.46
O: 0.6606 0.2254 0.5420  1 S 1.46
O: 0.6844 0.9264 0.4810  1 S 1.46
O: 0.8156 0.0736 0.9810  1 S 1.46
O: 0.8394 0.7746 0.0420  1 S 1.46
O: 0.8653 0.2686 0.8372  1 S 1.46
O: 0.8682 0.1391 0.0756  1 S 1.44
O: 0.8731 0.6480 0.8584  1 S 1.49, 1 H 1.67
O: 0.9113 0.4796 0.2903  1 S 1.47

# 3
This record from Alexandria via LeMat-Bulk describes a relaxed structure of La12TlSn4N3. The functional is PBE.

Results
E = -5.838 eV per atom
Volume = 598.3 Å³ per cell
Space-group type = No. 229
Fermi-level density of states = 12.46 states/eV/f.u.
Raw formation energy = -714 meV per atom

Unit cell a=9.1941 b=9.1941 c=9.1941 alpha=109.47 beta=109.47 gamma=109.47
Closest atoms and distances in Å follow each position.
Positions (direct):
La: 0.0000 0.2784 0.2784  1 N 2.35
La: 0.0000 0.7216 0.7216  1 N 2.35
La: 0.2500 0.5000 0.7500  2 N 2.65
La: 0.2500 0.7500 0.5000  2 N 2.65
La: 0.2784 0.0000 0.2784  1 N 2.35
La: 0.2784 0.2784 0.0000  1 N 2.35
La: 0.5000 0.2500 0.7500  2 N 2.65
La: 0.5000 0.7500 0.2500  2 N 2.65
La: 0.7216 0.0000 0.7216  1 N 2.35
La: 0.7216 0.7216 0.0000  1 N 2.35
La: 0.7500 0.2500 0.5000  2 N 2.65
La: 0.7500 0.5000 0.2500  2 N 2.65
Tl: 0.0000 0.0000 0.0000  6 La 2.96
Sn: 0.0000 0.0000 0.5000  12 La 3.75-3.77
Sn: 0.0000 0.5000 0.0000  12 La 3.75-3.77
Sn: 0.5000 0.0000 0.0000  12 La 3.75-3.77
Sn: 0.5000 0.5000 0.5000  12 La 3.75-3.77
N: 0.0000 0.5000 0.5000  2 La 2.35
N: 0.5000 0.0000 0.5000  2 La 2.35
N: 0.5000 0.5000 0.0000  2 La 2.35

# 4
This record from Alexandria via LeMat-Bulk describes a relaxed structure of Sr3LiPd. The functional is PBE.

Results
E = -2.688 eV per atom
Energy relative to the elements = -0.26 eV per atom
Volume = 364.0 Å³ per cell
Space-group type = No. 11
Fermi-level density of states = 3.04 states/eV/f.u.

Unit cell a=7.4511 b=4.4446 c=10.9902 alpha=90.00 beta=90.10 gamma=90.00
Closest atoms and distances in Å follow each position.
Positions (direct):
Sr: 0.2141 0.2500 0.2499  2 Pd 3.11, 2 Li 3.47
Sr: 0.2311 0.7500 0.5594  2 Pd 3.26, 2 Li 3.39
Sr: 0.2316 0.7500 0.9401  2 Pd 3.26, 2 Li 3.39
Sr: 0.7684 0.2500 0.0599  2 Pd 3.26, 2 Li 3.39
Sr: 0.7689 0.2500 0.4406  2 Pd 3.26, 2 Li 3.39
Sr: 0.7859 0.7500 0.7501  2 Pd 3.11, 2 Li 3.47
Li: 0.4286 0.2500 0.7498  1 Pd 2.61
Li: 0.5714 0.7500 0.2502  1 Pd 2.61
Pd: 0.0781 0.2500 0.7495  1 Li 2.61
Pd: 0.9219 0.7500 0.2505  1 Li 2.61